No. 1
Entry from the Alexandria database: a relaxed structure of Na2B3C (PBE). Values from VASP.

Results
M_tot: 0.0 μB per formula unit
energy above the most stable polymorph in this dataset: 14 meV per atom
ΔE_f: 147 meV/atom

```
&SYSTEM
  ibrav = 0, nat = 30, ntyp = 3
/
ATOMIC_SPECIES
Na 22.99 Na.upf
C 12.01 C.upf
B 10.81 B.upf
ATOMIC_POSITIONS angstrom
Na -6.644 -0.158 9.092
Na -3.857 -2.101 5.165
Na -5.608 3.861 7.900
Na -4.902 -6.091 6.371
Na -2.799 1.917 3.943
Na -4.559 7.875 6.689
Na -5.973 -10.103 7.612
Na -8.738 -8.182 11.508
Na -7.008 -14.113 8.803
Na -7.709 -4.172 10.324
C -7.349 -6.804 9.682
C -5.243 -3.478 6.985
C -7.429 -11.451 9.530
C -5.135 1.150 7.099
C -6.105 6.574 8.734
B -9.056 -5.615 12.087
B -4.273 0.557 5.885
B -3.197 4.560 4.637
B -2.428 -0.696 3.287
B -4.099 5.177 5.906
B -8.222 -1.456 11.181
B -6.082 -2.915 8.167
B -2.981 9.167 4.600
B -4.445 -8.774 5.593
B -3.486 -4.698 4.510
B -9.172 -0.791 12.519
B -7.046 2.490 9.792
B -1.542 -1.302 2.039
B -6.513 -7.368 8.506
B -1.288 3.269 1.949
CELL_PARAMETERS angstrom
-4.641 -7.014 3.571
-2.367 -7.108 5.231
-3.501 11.881 5.465
```



No. 2
Entry from the Alexandria database: a relaxed structure of Na2B3C (PBE). Values from VASP.

Results
M_tot: 0.0 μB per formula unit
energy above the most stable polymorph in this dataset: 4 meV per atom
ΔE_f: 137 meV/atom

```
&SYSTEM
  ibrav = 0, nat = 24, ntyp = 3
/
ATOMIC_SPECIES
Na 22.99 Na.upf
B 10.81 B.upf
C 12.01 C.upf
ATOMIC_POSITIONS angstrom
Na 0.615 -1.004 2.739
Na 11.598 -3.028 6.392
Na 8.104 -1.073 7.888
Na 6.422 -2.519 5.941
Na 2.893 -0.544 7.452
Na 4.148 -2.980 1.226
Na 9.355 -3.496 1.696
Na 5.820 -1.518 3.210
B 8.414 -2.340 4.164
B 8.921 -3.364 6.686
B 5.119 -4.132 -1.189
B 3.977 -1.669 5.287
B 5.553 -0.225 7.080
B 1.500 -2.170 0.156
B 3.255 -0.689 2.322
B 6.137 -2.800 -0.551
B 7.397 -3.672 3.529
B 6.641 -3.825 1.964
B 2.514 -0.839 0.787
B 3.219 -1.822 3.718
C 4.857 -0.365 5.638
C 6.814 -2.664 0.850
C 9.091 -2.204 5.567
C 5.382 -1.385 8.196
CELL_PARAMETERS angstrom
-1.058 -2.466 0.751
7.075 -3.958 -3.030
4.553 0.920 9.431
```